1.
# HgOs2Pd | the Open Quantum Materials Database | PBE-GGA | optimized geometry
data_HgOs2Pd
_cell_length_a 6.366
_cell_length_b 6.366
_cell_length_c 6.366
_cell_angle_alpha 90.00
_cell_angle_beta 90.00
_cell_angle_gamma 90.00
_space_group_name_H-M_alt 'F -4 3 m'
_space_group_IT_number 216
_space_group_name_Hall 'F -4 2 3'
loop_
_atom_site_label
_atom_site_type_symbol
_atom_site_fract_x
_atom_site_fract_y
_atom_site_fract_z
Hg1 Hg 0.000 0.000 0.000
Os1 Os 0.000 0.000 0.500
Os2 Os 0.250 0.250 0.250
Pd1 Pd 0.250 0.250 0.750
# ΔH_f (0 K)   3.3 eV per formula unit



2.
# CuHgOs2 | the Open Quantum Materials Database | PBE-GGA | optimized geometry
data_CuHgOs2
_cell_length_a 6.270
_cell_length_b 6.270
_cell_length_c 6.270
_cell_angle_alpha 90.00
_cell_angle_beta 90.00
_cell_angle_gamma 90.00
_space_group_name_H-M_alt 'F -4 3 m'
_space_group_IT_number 216
_space_group_name_Hall 'F -4 2 3'
loop_
_atom_site_label
_atom_site_type_symbol
_atom_site_fract_x
_atom_site_fract_y
_atom_site_fract_z
Cu1 Cu 0.000 0.000 0.000
Hg1 Hg 0.250 0.250 0.750
Os1 Os 0.000 0.000 0.500
Os2 Os 0.250 0.250 0.250
# ΔH_f (0 K)   3.3 eV per formula unit



3.
# Gd2CoGe | the Open Quantum Materials Database | PBE-GGA | optimized geometry
data_Gd2CoGe
_cell_length_a 4.068
_cell_length_b 4.071
_cell_length_c 10.583
_cell_angle_alpha 90.00
_cell_angle_beta 90.00
_cell_angle_gamma 90.00
_space_group_name_H-M_alt 'A m m 2'
_space_group_IT_number 38
loop_
_space_group_symop_operation_xyz
'x,y,z'
'-x,-y,z'
'-x,y,z'
'x,-y,z'
'x,y+1/2,z+1/2'
'-x,-y+1/2,z+1/2'
'-x,y+1/2,z+1/2'
'x,-y+1/2,z+1/2'
loop_
_atom_site_label
_atom_site_type_symbol
_atom_site_fract_x
_atom_site_fract_y
_atom_site_fract_z
Gd1 Gd 0.000 0.000 0.000
Gd2 Gd 0.500 0.000 0.281
Co1 Co 0.500 0.000 0.568
Ge1 Ge 0.000 0.000 0.707
# Electronic total energy   -5.78 eV/atom